P.
{
  "formula": "Cd2ReRu",
  "functional": "GGA-PBE",
  "state": "relaxed",
  "m_tot_mub_per_fu": 0.0,
  "dos_at_fermi_per_ev_cell": 4.63,
  "lattice": [[-2.289, -1.785, -0.594], [0.042, -1.534, 4.449], [-3.101, 3.558, 1.256]],
  "species": ["Cd", "Cd", "Re", "Ru"],
  "fractional_positions": [[0.000, 0.000, 0.000], [0.500, 0.500, 0.000], [0.500, 0.000, 0.500], [0.000, 0.500, 0.500]]
}

=====

Q.
{
  "formula": "Cd2ReRu",
  "functional": "GGA-PBE",
  "state": "relaxed",
  "m_tot_mub_per_fu": 0.0,
  "dos_at_fermi_per_ev_cell": 2.77,
  "lattice": [[-5.748, -0.985, 0.226], [-2.787, -2.909, -4.223], [3.951, 0.293, 4.286]],
  "species": ["Cd", "Cd", "Re", "Ru"],
  "fractional_positions": [[0.019, 0.019, 0.000], [0.734, 0.234, 0.500], [0.473, 0.473, 0.000], [0.274, 0.774, 0.500]]
}

=====

Name the most stable of them. Q.